The following is a DFT calculation (PBE-GGA) of a geometry-optimized Li2Mg2AlAg4 structure.

Cell: 4.415 5.296 7.621 Å, 86.58 73.22 65.38°
Element x y z (fractional)
Li (0.117, 0.217, 0.050)
Li (0.883, 0.783, 0.950)
Mg (0.224, 0.425, 0.628)
Mg (0.776, 0.575, 0.372)
Al (0.000, 0.000, 0.500)
Ag (0.323, 0.693, 0.159)
Ag (0.451, 0.872, 0.727)
Ag (0.549, 0.128, 0.273)
Ag (0.677, 0.307, 0.841)

The total DFT energy (no corrections) comes out at -23.79 eV per cell. Its symmetry is No. 2. Its energy relative to the elements is -0.180 eV per atom. As for the crystal system: triclinic. The total magnetization is 0.00 μB per formula unit.